[1]
Rb2SbClF6: optimized geometry, PBE.

Properties
The value obtained for the total energy is -168.1 eV for the cell shown. The value obtained for the total magnetic moment is 0.000 μB per atom.

a = 9.833 Å, b = 9.833 Å, c = 9.833 Å
α = 90.00°, β = 90.00°, γ = 90.00°
Space group Fm-3m (No. 225)
Inequivalent atoms, fractional coordinates:
Rb 0.250 0.250 0.250
Sb 0.000 0.000 0.000
Cl 0.000 0.000 0.500
F 0.000 0.000 0.197

***

[2]
ScZnHPd2: optimized geometry, PBE.

Properties
The value obtained for the total energy is -23.8 eV for the cell shown. The value obtained for the total magnetic moment is 0.000 μB per atom.

a = 4.048 Å, b = 4.048 Å, c = 4.132 Å
α = 90.00°, β = 90.00°, γ = 90.00°
Space group P4/mmm (No. 123)
Inequivalent atoms, fractional coordinates:
Sc 0.000 0.000 0.000
Zn 0.500 0.500 0.000
H 0.000 0.000 0.500
Pd 0.000 0.500 0.500